No. 1
DFT (PBE) results for Ba2ZnTcS6 after structural relaxation.

Unit cell a=6.839 b=6.839 c=6.840 alpha=60.03 beta=60.01 gamma=60.08
Sites, in units of the cell vectors:
Ba1 0.250 0.250 0.250
Ba2 0.750 0.750 0.750
Zn1 0.000 0.000 0.000
Tc1 0.500 0.500 0.500
S1 0.248 0.744 0.258
S2 0.249 0.741 0.752
S3 0.262 0.245 0.746
S4 0.738 0.755 0.254
S5 0.751 0.259 0.248
S6 0.752 0.256 0.742


No. 2
DFT (PBE) results for Nd2GeBrCl after structural relaxation.

Unit cell a=4.276 b=4.276 c=10.056 alpha=90.00 beta=90.00 gamma=120.00
Sites, in units of the cell vectors:
Nd1 0.000 0.000 0.000
Nd2 0.333 0.667 0.665
Ge1 0.667 0.333 0.831
Br1 0.000 0.000 0.486
Cl1 0.333 0.667 0.154


No. 3
DFT (PBE) results for CsCuNiTeSe2 after structural relaxation.

Unit cell a=8.582 b=8.582 c=10.232 alpha=90.00 beta=90.00 gamma=155.20
Sites, in units of the cell vectors:
Cs1 0.239 0.761 0.750
Cs2 0.761 0.239 0.250
Cu1 0.452 0.548 0.250
Cu2 0.548 0.452 0.750
Ni1 0.000 0.000 0.000
Ni2 0.000 0.000 0.500
Te1 0.060 0.940 0.250
Te2 0.940 0.060 0.750
Se1 0.403 0.597 0.032
Se2 0.403 0.597 0.468
Se3 0.597 0.403 0.532
Se4 0.597 0.403 0.968


no.,E (eV/atom)
1,-4.898
2,-5.084
3,-3.744